# 1
VASP calculation (PBE-GGA) on a relaxed structure of BaInPO2.

The structure in POSCAR format:
```
BaInPO2
1.0
-1.983 -2.549 3.054
0.741 -3.589 -2.514
5.920 -0.929 3.070
P Ba O In
1 1 2 1
direct
0.000 0.000 0.500
0.000 0.000 0.000
0.000 0.500 0.000
0.500 0.000 0.000
0.500 0.500 0.500
```

Values from the calculation:
Its crystal system is tetragonal. The energy relative to the lowest polymorph listed for this composition comes out at 794 meV per atom. As for the raw formation energy: -0.03 eV/atom. As for the mass density: 3.93 g/cm3.

---

# 2
VASP calculation (PBE-GGA) on a relaxed structure of Ba2PaInO6.

The structure in POSCAR format:
```
Ba2PaInO6
1.0
4.379 0.000 0.000
0.000 4.379 0.000
0.000 0.000 8.740
Ba Pa In O
2 1 1 6
direct
0.000 0.000 0.715
0.000 0.000 0.285
0.500 0.500 0.000
0.500 0.500 0.500
0.500 0.000 0.000
0.500 0.000 0.500
0.000 0.500 0.000
0.000 0.500 0.500
0.500 0.500 0.756
0.500 0.500 0.244
```

Values from the calculation:
Its crystal system is tetragonal. The energy relative to the lowest polymorph listed for this composition comes out at 20 meV per atom. As for the raw formation energy: -2.83 eV/atom. As for the mass density: 7.10 g/cm3.

---

# 3
VASP calculation (PBE-GGA) on a relaxed structure of BaPaInO6.

The structure in POSCAR format:
```
BaPaInO6
1.0
-1.514 1.815 -4.301
3.982 -3.422 -2.846
-5.500 -2.072 1.062
Ba Pa In O
1 1 1 6
direct
0.500 0.667 0.333
0.000 0.333 0.667
0.500 0.000 0.000
0.750 0.663 0.731
0.750 0.269 0.932
0.750 0.068 0.337
0.250 0.269 0.337
0.250 0.663 0.932
0.250 0.068 0.731
```

Values from the calculation:
Its crystal system is trigonal. As for the raw formation energy: -2.15 eV/atom. As for the mass density: 6.34 g/cm3.

---

# 4
VASP calculation (PBE-GGA) on a relaxed structure of Ba3PaIn2O9.

The structure in POSCAR format:
```
Ba3PaIn2O9
1.0
6.112 0.000 0.000
-3.056 5.293 0.000
0.000 0.000 7.562
Ba Pa In O
3 1 2 9
direct
0.333 0.667 0.694
0.000 0.000 0.000
0.667 0.333 0.306
0.000 0.000 0.500
0.333 0.667 0.167
0.667 0.333 0.833
0.835 0.165 0.668
0.835 0.670 0.668
0.330 0.165 0.668
0.670 0.835 0.332
0.165 0.330 0.332
0.165 0.835 0.332
0.500 0.000 0.000
0.000 0.500 0.000
0.500 0.500 0.000
```

Values from the calculation:
Its crystal system is trigonal. As for the raw formation energy: -2.48 eV/atom. As for the mass density: 6.90 g/cm3.

---

# 5
VASP calculation (PBE-GGA) on a relaxed structure of BaPa2InO8.

The structure in POSCAR format:
```
BaPa2InO8
1.0
-2.913 0.126 -4.400
-0.025 -5.266 -0.500
-6.070 -0.351 4.009
Ba Pa In O
1 2 1 8
direct
0.000 0.000 0.500
0.500 0.500 0.754
0.500 0.500 0.246
0.000 0.000 0.000
0.212 0.785 0.209
0.684 0.685 0.000
0.788 0.215 0.209
0.788 0.215 0.791
0.316 0.315 0.000
0.212 0.785 0.791
0.662 0.664 0.500
0.338 0.336 0.500
```

Values from the calculation:
Its crystal system is monoclinic. As for the raw formation energy: -2.77 eV/atom. As for the mass density: 6.89 g/cm3.

---

# 6
VASP calculation (PBE-GGA) on a relaxed structure of Ba2PaInO6.

The structure in POSCAR format:
```
Ba2PaInO6
1.0
-3.659 -3.348 3.667
-6.123 0.254 -0.692
-3.049 -4.851 -2.284
Ba Pa In O
2 1 1 6
direct
0.750 0.750 0.750
0.250 0.250 0.250
0.000 0.000 0.000
0.500 0.500 0.500
0.249 0.751 0.751
0.751 0.249 0.249
0.751 0.751 0.249
0.249 0.249 0.751
0.751 0.249 0.751
0.249 0.751 0.249
```

Values from the calculation:
Its crystal system is cubic. The energy relative to the lowest polymorph listed for this composition comes out at 0 meV per atom. As for the raw formation energy: -2.85 eV/atom. As for the mass density: 7.17 g/cm3.

---

# 7
VASP calculation (PBE-GGA) on a relaxed structure of Ba3PaIn2O8.

The structure in POSCAR format:
```
Ba3PaIn2O8
1.0
6.213 0.000 0.000
-3.107 5.381 0.000
0.000 0.000 7.983
Ba Pa In O
3 1 2 8
direct
0.333 0.667 0.640
0.667 0.333 0.360
0.000 0.000 0.000
0.000 0.000 0.500
0.333 0.667 0.193
0.667 0.333 0.807
0.333 0.667 0.942
0.667 0.333 0.058
0.164 0.836 0.336
0.836 0.164 0.664
0.164 0.328 0.336
0.836 0.672 0.664
0.672 0.836 0.336
0.328 0.164 0.664
```

Values from the calculation:
Its crystal system is trigonal. As for the raw formation energy: -2.38 eV/atom. As for the mass density: 6.23 g/cm3.

---

# 8
VASP calculation (PBE-GGA) on a relaxed structure of Ba3Pa2InO9.

The structure in POSCAR format:
```
Ba3Pa2InO9
1.0
6.230 0.000 0.000
-3.115 5.395 0.000
0.000 0.000 7.668
Ba Pa In O
3 2 1 9
direct
0.333 0.667 0.652
0.000 0.000 0.000
0.667 0.333 0.348
0.333 0.667 0.173
0.667 0.333 0.827
0.000 0.000 0.500
0.833 0.167 0.665
0.833 0.667 0.665
0.333 0.167 0.665
0.667 0.833 0.335
0.167 0.333 0.335
0.167 0.833 0.335
0.500 0.000 0.000
0.000 0.500 0.000
0.500 0.500 0.000
```

Values from the calculation:
Its crystal system is trigonal. As for the raw formation energy: -2.96 eV/atom. As for the mass density: 7.30 g/cm3.

---

# 9
VASP calculation (PBE-GGA) on a relaxed structure of BaPaIn2O8.

The structure in POSCAR format:
```
BaPaIn2O8
1.0
6.440 0.506 0.000
-2.403 5.996 0.000
-2.018 -3.251 5.204
Ba Pa In O
1 1 2 8
direct
0.250 0.750 0.500
0.000 0.000 0.000
0.750 0.250 0.500
0.500 0.500 0.000
0.354 0.061 0.293
0.276 0.428 0.151
0.276 0.125 0.849
0.767 0.061 0.707
0.875 0.724 0.151
0.939 0.233 0.293
0.939 0.646 0.707
0.572 0.724 0.849
```

Values from the calculation:
Its crystal system is tetragonal. As for the raw formation energy: -1.78 eV/atom. As for the mass density: 5.82 g/cm3.

---

# 10
VASP calculation (PBE-GGA) on a relaxed structure of Ba2InPbO.

The structure in POSCAR format:
```
Ba2InPbO
1.0
5.411 0.000 0.000
0.000 5.411 0.000
0.000 0.000 5.281
Pb Ba O In
1 2 1 1
direct
0.500 0.500 0.500
0.000 0.500 0.000
0.500 0.000 0.000
0.000 0.000 0.000
0.000 0.000 0.500
```

Values from the calculation:
Its crystal system is tetragonal. The energy relative to the lowest polymorph listed for this composition comes out at 46 meV per atom. As for the raw formation energy: -1.08 eV/atom. As for the mass density: 6.58 g/cm3.

---

# 11
VASP calculation (PBE-GGA) on a relaxed structure of Ba12InPb4O3.

The structure in POSCAR format:
```
Ba12InPb4O3
1.0
-9.841 0.260 1.911
2.150 -8.203 -5.353
5.079 -0.223 8.644
Ba In Pb O
12 1 4 3
direct
0.250 0.500 0.750
0.724 0.000 0.724
0.276 0.000 0.276
0.750 0.500 0.250
0.724 0.724 0.000
0.276 0.276 0.000
0.750 0.250 0.500
0.250 0.750 0.500
0.500 0.250 0.750
0.000 0.724 0.724
0.500 0.750 0.250
0.000 0.276 0.276
0.000 0.000 0.000
0.500 0.500 0.500
0.000 0.000 0.500
0.500 0.000 0.000
0.000 0.500 0.000
0.500 0.000 0.500
0.500 0.500 0.000
0.000 0.500 0.500
```

Values from the calculation:
Its crystal system is cubic. As for the raw formation energy: -0.95 eV/atom. As for the mass density: 5.65 g/cm3.

---

# 12
VASP calculation (PBE-GGA) on a relaxed structure of Ba2InPbO6.

The structure in POSCAR format:
```
Ba2InPbO6
1.0
-1.197 -5.986 0.207
2.165 -0.629 -5.676
7.901 -1.471 3.177
Ba In Pb O
4 2 2 12
direct
0.500 0.750 0.250
0.000 0.250 0.750
0.500 0.750 0.750
0.000 0.250 0.250
0.500 0.250 0.500
0.000 0.750 0.000
0.000 0.750 0.500
0.500 0.250 0.000
0.500 0.250 0.251
0.500 0.250 0.749
0.000 0.750 0.249
0.000 0.750 0.751
0.251 0.001 0.500
0.749 0.001 0.500
0.251 0.499 0.500
0.749 0.499 0.500
0.751 0.501 0.000
0.249 0.501 0.000
0.249 0.999 0.000
0.751 0.999 0.000
```

Values from the calculation:
Its crystal system is cubic. As for the raw formation energy: -1.71 eV/atom. As for the mass density: 7.14 g/cm3.

---

# 13
VASP calculation (PBE-GGA) on a relaxed structure of Ba4InPb3O12.

The structure in POSCAR format:
```
Ba4InPb3O12
1.0
-0.096 7.502 -0.452
-4.159 -2.210 5.857
7.075 -2.365 0.917
Ba In Pb O
4 1 3 12
direct
0.500 0.500 0.500
0.000 0.000 0.500
0.500 0.000 0.000
0.000 0.500 0.000
0.000 0.000 0.000
0.500 0.000 0.500
0.500 0.500 0.000
0.000 0.500 0.500
0.250 0.500 0.750
0.750 0.000 0.750
0.250 0.000 0.250
0.750 0.500 0.250
0.750 0.750 0.000
0.250 0.250 0.000
0.750 0.250 0.500
0.250 0.750 0.500
0.500 0.250 0.750
0.000 0.750 0.750
0.500 0.750 0.250
0.000 0.250 0.250
```

Values from the calculation:
Its crystal system is cubic. As for the raw formation energy: -1.68 eV/atom. As for the mass density: 7.51 g/cm3.

---

# 14
VASP calculation (PBE-GGA) on a relaxed structure of Ba2InPbO.

The structure in POSCAR format:
```
Ba2InPbO
1.0
-0.755 3.123 -3.609
-2.508 -5.173 -3.952
-8.243 4.674 5.771
Ba In Pb O
4 2 2 2
direct
0.750 0.778 0.556
0.750 0.796 0.037
0.250 0.222 0.444
0.250 0.204 0.963
0.250 0.608 0.753
0.750 0.392 0.247
0.250 0.671 0.293
0.750 0.329 0.707
0.250 0.825 0.943
0.750 0.175 0.057
```

Values from the calculation:
Its crystal system is monoclinic. The energy relative to the lowest polymorph listed for this composition comes out at 0 meV per atom. As for the raw formation energy: -1.13 eV/atom. As for the mass density: 5.78 g/cm3.

---

# 15
VASP calculation (PBE-GGA) on a relaxed structure of Ba2InPbO.

The structure in POSCAR format:
```
Ba2InPbO
1.0
-2.517 -2.873 -5.563
3.869 -1.204 -1.129
-0.822 -5.793 3.363
Pb Ba O In
1 2 1 1
direct
0.500 0.500 0.500
0.000 0.000 0.500
0.500 0.000 0.000
0.000 0.500 0.000
0.000 0.000 0.000
```

Values from the calculation:
Its crystal system is tetragonal. The energy relative to the lowest polymorph listed for this composition comes out at 763 meV per atom. As for the raw formation energy: -0.36 eV/atom. As for the mass density: 5.31 g/cm3.

---

# 16
VASP calculation (PBE-GGA) on a relaxed structure of Ba2InPdO5.

The structure in POSCAR format:
```
Ba2InPdO5
1.0
-1.974 1.664 -2.381
-2.476 -6.801 -0.111
-7.885 2.732 8.446
Ba In Pd O
4 2 2 10
direct
0.848 0.697 0.808
0.094 0.188 0.680
0.152 0.303 0.308
0.906 0.812 0.180
0.791 0.581 0.525
0.209 0.419 0.025
0.523 0.046 0.948
0.477 0.954 0.448
0.372 0.744 0.991
0.667 0.334 0.903
0.484 0.968 0.782
0.276 0.551 0.640
0.944 0.888 0.549
0.628 0.256 0.491
0.333 0.666 0.403
0.516 0.032 0.282
0.724 0.449 0.140
0.056 0.112 0.049
```

Values from the calculation:
Its crystal system is orthorhombic. As for the raw formation energy: -1.60 eV/atom. As for the mass density: 6.53 g/cm3.

---

# 17
VASP calculation (PBE-GGA) on a relaxed structure of Ba2InPdO.

The structure in POSCAR format:
```
Ba2InPdO
1.0
6.311 0.000 0.000
0.000 3.972 0.000
0.000 0.000 6.311
O Ba Pd In
1 2 1 1
direct
0.000 0.500 0.000
0.000 0.000 0.500
0.500 0.000 0.000
0.000 0.000 0.000
0.500 0.500 0.500
```

Values from the calculation:
Its crystal system is tetragonal. As for the raw formation energy: -0.52 eV/atom. As for the mass density: 5.37 g/cm3.

---

# 18
VASP calculation (PBE-GGA) on a relaxed structure of Ba6In2PdO.

The structure in POSCAR format:
```
Ba6In2PdO
1.0
-7.454 -3.451 -1.010
2.454 -6.581 4.380
-3.717 5.153 9.825
Ba In Pd O
12 4 2 2
direct
0.500 0.250 0.263
0.500 0.250 0.737
0.000 0.750 0.237
0.000 0.750 0.763
0.263 0.013 0.500
0.737 0.013 0.500
0.263 0.486 0.500
0.737 0.486 0.500
0.763 0.514 0.000
0.237 0.514 0.000
0.237 0.987 0.000
0.763 0.987 0.000
0.500 0.750 0.250
0.000 0.250 0.750
0.500 0.750 0.750
0.000 0.250 0.250
0.000 0.749 0.500
0.500 0.251 0.000
0.500 0.250 0.500
0.000 0.750 0.000
```

Values from the calculation:
Its crystal system is orthorhombic. As for the raw formation energy: -0.70 eV/atom. As for the mass density: 4.87 g/cm3.

---

# 19
VASP calculation (PBE-GGA) on a relaxed structure of BaPmIn4O8.

The structure in POSCAR format:
```
BaPmIn4O8
1.0
-5.421 0.944 4.020
0.000 -2.462 6.354
0.477 4.444 5.376
Ba Pm In O
1 1 4 8
direct
0.373 0.373 0.882
0.001 0.001 0.996
0.621 0.621 0.137
0.001 0.496 0.502
0.496 0.001 0.502
0.001 0.001 0.502
0.236 0.812 0.716
0.812 0.236 0.716
0.236 0.236 0.716
0.227 0.227 0.318
0.752 0.222 0.273
0.222 0.752 0.273
0.752 0.752 0.273
0.768 0.768 0.696
```

Values from the calculation:
Its crystal system is trigonal. As for the raw formation energy: -1.92 eV/atom. As for the mass density: 6.21 g/cm3.

---

# 20
VASP calculation (PBE-GGA) on a relaxed structure of Ba2PmInO6.

The structure in POSCAR format:
```
Ba2PmInO6
1.0
-3.649 -0.373 -5.041
-4.245 -3.148 3.307
-5.887 2.037 0.257
Ba Pm In O
2 1 1 6
direct
0.250 0.750 0.500
0.750 0.250 0.500
0.000 0.000 0.000
0.500 0.500 0.000
0.257 0.743 0.000
0.743 0.743 0.000
0.257 0.257 0.485
0.743 0.257 0.000
0.257 0.257 0.000
0.743 0.743 0.515
```

Values from the calculation:
Its crystal system is cubic. As for the raw formation energy: -2.16 eV/atom. As for the mass density: 6.11 g/cm3.

---

What are the magnetization values for these records? In order: 0.967 0.000 2.019 0.794 0.898 0.000 0.319 1.001 2.793 0.000 2.826 1.756 0.072 0.000 0.000 0.000 0.001 0.004 0.000 2.057 Bohr magnetons per cell.